Model one:
DFT (PBE-GGA) results for an optimized crystal structure of Y2BeP2.

Cell: 7.0296 7.0296 3.8658 Å, 90.00 90.00 90.00°
Last column: nearest neighbours and their distance in Å.
Sites, in units of the cell vectors:
Y 0.1591 0.3409 0.0000  6 P 2.67-2.94
Y 0.3409 0.8409 0.0000  6 P 2.67-2.94
Y 0.6591 0.1591 0.0000  6 P 2.67-2.94
Y 0.8409 0.6591 0.0000  6 P 2.67-2.94
Be 0.0000 0.0000 0.5000  4 P 2.66
Be 0.5000 0.5000 0.5000  4 P 2.66
P 0.1557 0.6557 0.5000  2 Be 2.66, 6 Y 2.67-2.94
P 0.3443 0.1557 0.5000  2 Be 2.66, 6 Y 2.67-2.94
P 0.6557 0.8443 0.5000  2 Be 2.66, 6 Y 2.67-2.94
P 0.8443 0.3443 0.5000  2 Be 2.66, 6 Y 2.67-2.94

Summary:
- magnetic moment (μB/atom) = 0.000
- space group = P4/mbm


Model two:
DFT (PBE-GGA) results for an optimized crystal structure of Y2BeP2.

Cell: 5.5201 5.5201 5.5201 Å, 119.84 119.84 90.28°
Last column: nearest neighbours and their distance in Å.
Sites, in units of the cell vectors:
Y 0.2500 0.7500 0.5000  4 P 2.77
Y 0.7500 0.2500 0.5000  4 P 2.77
Be 0.0000 0.0000 0.0000  2 P 2.06
P 0.2650 0.2650 0.0000  1 Be 2.06
P 0.7350 0.7350 0.0000  1 Be 2.06

Summary:
- magnetic moment (μB/atom) = 0.277
- space group = I4/mmm


Which one sits at the top of the stability order? model one does.